No. 1
Computed, not measured: Ga2Hg2Pb after structural relaxation at the PBE-GGA level of DFT.

Geometry as POSCAR:
```
Ga2Hg2Pb
1.0
7.9518 0.0000 0.0000
0.0000 7.9518 0.0000
0.0000 0.0000 3.8802
Pb Hg Ga
2 4 4
Cartesian
0.0000 0.0000 0.0000
3.9759 3.9759 0.0000
1.3825 5.3584 1.9401
5.3584 6.5694 1.9401
6.5694 2.5934 1.9401
2.5934 1.3825 1.9401
2.9859 6.9618 0.0000
6.9618 4.9659 0.0000
4.9659 0.9900 0.0000
0.9900 2.9859 0.0000
```

Computed properties:
**ΔE_f**: 1.79 kcal/mol of atoms
**Distance to the lowest polymorph of the same formula**: 0.0001 eV per atom


No. 2
Computed, not measured: GaHgPb2 after structural relaxation at the PBE-GGA level of DFT.

Geometry as POSCAR:
```
GaHgPb2
1.0
-0.5497 -1.4024 2.9743
1.8999 -2.5422 1.0211
8.0106 6.3481 6.3423
Pb Hg Ga
2 1 1
Cartesian
6.1087 4.4205 5.0819
3.2520 -2.0169 5.2557
4.6804 1.2018 5.1688
0.0000 0.0000 0.0000
```

Computed properties:
**ΔE_f**: 3.49 kcal/mol of atoms


No. 3
Computed, not measured: GaHg4Pb4 after structural relaxation at the PBE-GGA level of DFT.

Geometry as POSCAR:
```
GaHg4Pb4
1.0
3.2568 0.0000 0.9832
1.6284 8.5466 0.4916
-0.8417 0.0000 8.6734
Ga Hg Pb
1 4 4
Cartesian
2.4426 4.2733 0.7374
1.7165 0.8808 3.1425
2.3270 7.6658 7.0058
1.4621 6.7856 3.9852
2.5814 1.7610 6.1631
0.0860 1.6602 8.5435
3.9576 6.8863 1.6048
3.3158 3.8807 3.7306
0.7277 4.6658 6.4177
```

Computed properties:
**ΔE_f**: 1.04 kcal/mol of atoms


What is the ΔE_f in the second record? 3.49 kcal/mol of atoms


Which of these has the highest ΔE_f? GaHgPb2


Which formula does entry 3 have? GaHg4Pb4


Look up the ΔE_f of the first one. 1.79 kcal/mol of atoms